# Rb3TbDy3Te8 | Alexandria | PBE | optimized geometry
# - energy relative to the elements, uncorrected (eV per atom) = -1.3177
data_Rb3TbDy3Te8
_chemical_formula_sum 'Rb9 Tb3 Dy9 Te24'
_cell_length_a 8.8283
_cell_length_b 8.8283
_cell_length_c 26.5103
_cell_angle_alpha 90.00
_cell_angle_beta 90.00
_cell_angle_gamma 120.00
_symmetry_space_group_name_H-M 'R -3 m'
_symmetry_Int_Tables_number 166
_symmetry_space_group_name_Hall '-R 3 2"'
loop_
_atom_site_label
_atom_site_type_symbol
_atom_site_fract_x
_atom_site_fract_y
_atom_site_fract_z
Rb1 Rb 0.0000 0.5000 0.0000
Tb1 Tb 0.0000 0.0000 0.5000
Dy1 Dy 0.0000 0.5000 0.5000
Te1 Te 0.0000 0.0000 0.2333
Te2 Te 0.0032 0.5016 0.7668